Here is an optimized crystal structure of La4Pr2Co from Alexandria via LeMat-Bulk. Energies are from PBE.

POSCAR file:
```
La4Pr2Co
1.0
5.154 0.000 0.000
0.000 5.154 0.000
2.577 2.577 9.277
Pr Co La
2 1 4
Cartesian
5.154 5.154 6.086 Pr
2.577 2.577 3.190 Pr
0.000 0.000 0.000 Co
5.154 5.154 2.904 La
2.577 2.577 6.373 La
0.000 2.577 0.000 La
2.577 0.000 0.000 La
```

Summary:
- calculated volume (Å³/atom) = 35.2
- symmetry = No. 139
- uncorrected energy (eV/atom) = -5.025
- energy above the lowest structure with this stoichiometry (meV/atom) = 184